{"formula": "Tm4F", "functional": "PBE", "state": "relaxed", "sg": "Pm-3m, No. 221", "dft_energy_ev_per_fu": -24.22, "magnetic_moment_mub_per_atom": 0.000, "cell": [[4.958, 0.000, 0.000], [0.000, 4.958, 0.000], [0.000, 0.000, 4.958]], "species": ["Tm", "Tm", "Tm", "Tm", "F"], "fractional_positions": [[0.000, 0.000, 0.000], [0.000, 0.500, 0.500], [0.500, 0.000, 0.500], [0.500, 0.500, 0.000], [0.500, 0.500, 0.500]]}


{"formula": "PrTm2S4", "functional": "PBE", "state": "relaxed", "sg": "Cmcm, No. 63", "polymorph_energy_ev_per_atom": 0.000, "magnetic_moment_mub_per_atom": 0.000, "cell": [[1.925, -6.416, 0.000], [1.925, 6.416, 0.000], [0.000, 0.000, 13.140]], "species": ["Pr", "Pr", "Tm", "Tm", "Tm", "Tm", "S", "S", "S", "S", "S", "S", "S", "S"], "fractional_positions": [[0.123, 0.877, 0.750], [0.877, 0.123, 0.250], [0.370, 0.630, 0.567], [0.370, 0.630, 0.933], [0.630, 0.370, 0.067], [0.630, 0.370, 0.433], [0.000, 0.000, 0.000], [0.000, 0.000, 0.500], [0.272, 0.728, 0.117], [0.272, 0.728, 0.383], [0.457, 0.543, 0.750], [0.543, 0.457, 0.250], [0.728, 0.272, 0.617], [0.728, 0.272, 0.883]]}


{"formula": "PrAs2IrO8", "functional": "PBE", "state": "relaxed", "sg": "P-3m1, No. 164", "dft_energy_ev_per_fu": -79.72, "magnetic_moment_mub_per_atom": 0.000, "cell": [[5.432, 0.000, 0.000], [-2.716, 4.704, 0.000], [0.000, 0.000, 6.996]], "species": ["Pr", "As", "As", "Ir", "O", "O", "O", "O", "O", "O", "O", "O"], "fractional_positions": [[0.000, 0.000, 0.000], [0.333, 0.667, 0.236], [0.667, 0.333, 0.764], [0.000, 0.000, 0.500], [0.155, 0.310, 0.294], [0.155, 0.845, 0.294], [0.310, 0.155, 0.706], [0.333, 0.667, 0.993], [0.667, 0.333, 0.007], [0.690, 0.845, 0.294], [0.845, 0.155, 0.706], [0.845, 0.690, 0.706]]}


{"formula": "SrMg2Si", "functional": "PBE", "state": "relaxed", "sg": "C2/m, No. 12", "dft_energy_ev_per_fu": -9.77, "magnetic_moment_mub_per_atom": 0.000, "cell": [[6.332, 0.000, 0.000], [0.000, 11.670, 0.000], [-1.547, 0.000, 2.785]], "species": ["Sr", "Sr", "Mg", "Mg", "Mg", "Mg", "Si", "Si"], "fractional_positions": [[0.000, 0.000, 0.000], [0.500, 0.500, 0.000], [0.250, 0.250, 0.500], [0.250, 0.750, 0.500], [0.750, 0.250, 0.500], [0.750, 0.750, 0.500], [0.000, 0.500, 0.000], [0.500, 0.000, 0.000]]}


{"formula": "BaVSn2B", "functional": "PBE", "state": "relaxed", "sg": "P4/mmm, No. 123", "e_form_mev_per_atom": 2570.8, "magnetic_moment_mub_per_atom": 0.042, "cell": [[6.117, 0.000, 0.000], [0.000, 6.117, 0.000], [0.000, 0.000, 5.098]], "species": ["Ba", "V", "Sn", "Sn", "B"], "fractional_positions": [[0.000, 0.000, 0.000], [0.000, 0.000, 0.500], [0.000, 0.500, 0.000], [0.500, 0.000, 0.000], [0.500, 0.500, 0.500]]}


{"formula": "RbCoAs", "functional": "PBE", "state": "relaxed", "sg": "C2/m, No. 12", "e_form_mev_per_atom": -225.5, "magnetic_moment_mub_per_atom": 0.000, "cell": [[13.290, 0.000, 0.000], [0.000, 4.197, 0.000], [-1.965, 0.000, 6.253]], "species": ["Rb", "Rb", "Rb", "Rb", "Co", "Co", "Co", "Co", "As", "As", "As", "As"], "fractional_positions": [[0.100, 0.000, 0.312], [0.400, 0.500, 0.688], [0.600, 0.500, 0.312], [0.900, 0.000, 0.688], [0.203, 0.000, 0.902], [0.297, 0.500, 0.098], [0.703, 0.500, 0.902], [0.797, 0.000, 0.098], [0.147, 0.500, 0.817], [0.353, 0.000, 0.183], [0.647, 0.000, 0.817], [0.853, 0.500, 0.183]]}


{"formula": "PrYGe2Pd2", "functional": "PBE", "state": "relaxed", "sg": "P-3m1, No. 164", "e_form_mev_per_atom": -922.2, "magnetic_moment_mub_per_atom": 0.000, "cell": [[4.460, 0.000, 0.000], [-2.230, 3.863, 0.000], [0.000, 0.000, 7.340]], "species": ["Pr", "Y", "Ge", "Ge", "Pd", "Pd"], "fractional_positions": [[0.000, 0.000, 0.000], [0.000, 0.000, 0.500], [0.333, 0.667, 0.266], [0.667, 0.333, 0.734], [0.333, 0.667, 0.712], [0.667, 0.333, 0.288]]}


{"formula": "Ta2AsH2", "functional": "PBE", "state": "relaxed", "sg": "I4/mmm, No. 139", "dft_energy_ev_per_fu": -35.80, "magnetic_moment_mub_per_atom": 0.000, "cell": [[3.213, 0.000, 0.000], [0.000, 3.213, 0.000], [0.000, 0.000, 10.944]], "species": ["Ta", "Ta", "Ta", "Ta", "As", "As", "H", "H", "H", "H"], "fractional_positions": [[0.000, 0.000, 0.139], [0.000, 0.000, 0.861], [0.500, 0.500, 0.361], [0.500, 0.500, 0.639], [0.000, 0.000, 0.500], [0.500, 0.500, 0.000], [0.000, 0.500, 0.250], [0.000, 0.500, 0.750], [0.500, 0.000, 0.250], [0.500, 0.000, 0.750]]}


{"formula": "CsYAu2I6", "functional": "PBE", "state": "relaxed", "sg": "P1, No. 1", "dft_energy_ev_per_fu": -31.81, "magnetic_moment_mub_per_atom": 0.000, "cell": [[7.677, 0.000, 0.000], [2.375, 8.190, 0.000], [2.940, 2.280, 8.493]], "species": ["Cs", "Y", "Au", "Au", "I", "I", "I", "I", "I", "I"], "fractional_positions": [[0.000, 0.000, 0.000], [0.499, 0.498, 0.499], [0.100, 0.451, 0.274], [0.898, 0.545, 0.724], [0.146, 0.729, 0.659], [0.327, 0.197, 0.619], [0.362, 0.624, 0.191], [0.636, 0.373, 0.807], [0.672, 0.799, 0.379], [0.852, 0.268, 0.340]]}


{"formula": "BRuRh", "functional": "PBE", "state": "relaxed", "sg": "Amm2, No. 38", "e_form_mev_per_atom": -131.1, "magnetic_moment_mub_per_atom": 0.000, "cell": [[2.807, 0.000, 0.000], [0.000, 2.819, 0.000], [0.000, 0.000, 8.913]], "species": ["B", "B", "Ru", "Ru", "Rh", "Rh"], "fractional_positions": [[0.000, 0.000, 0.000], [0.000, 0.500, 0.500], [0.500, 0.000, 0.599], [0.500, 0.500, 0.099], [0.000, 0.000, 0.320], [0.000, 0.500, 0.820]]}


{"formula": "TlIr3Au", "functional": "PBE", "state": "relaxed", "sg": "Pm-3m, No. 221", "polymorph_energy_ev_per_atom": 0.000, "e_form_mev_per_atom": 2041.2, "magnetic_moment_mub_per_atom": 0.356, "cell": [[4.919, 0.000, 0.000], [0.000, 4.919, 0.000], [0.000, 0.000, 4.919]], "species": ["Tl", "Ir", "Ir", "Ir", "Au"], "fractional_positions": [[0.000, 0.000, 0.000], [0.000, 0.500, 0.500], [0.500, 0.000, 0.500], [0.500, 0.500, 0.000], [0.500, 0.500, 0.500]]}


{"formula": "Er3Ga6Ni5", "functional": "PBE", "state": "relaxed", "sg": "Pmmn, No. 59", "e_form_mev_per_atom": -606.1, "magnetic_moment_mub_per_atom": 0.000, "cell": [[4.095, 0.000, 0.000], [0.000, 12.337, 0.000], [0.000, 0.000, 8.890]], "species": ["Er", "Er", "Er", "Er", "Er", "Er", "Ga", "Ga", "Ga", "Ga", "Ga", "Ga", "Ga", "Ga", "Ga", "Ga", "Ga", "Ga", "Ni", "Ni", "Ni", "Ni", "Ni", "Ni", "Ni", "Ni", "Ni", "Ni"], "fractional_positions": [[0.250, 0.050, 0.247], [0.250, 0.450, 0.247], [0.250, 0.750, 0.264], [0.750, 0.250, 0.736], [0.750, 0.550, 0.753], [0.750, 0.950, 0.753], [0.250, 0.072, 0.589], [0.250, 0.250, 0.036], [0.250, 0.250, 0.415], [0.250, 0.428, 0.589], [0.250, 0.599, 0.982], [0.250, 0.901, 0.982], [0.750, 0.099, 0.018], [0.750, 0.401, 0.018], [0.750, 0.572, 0.411], [0.750, 0.750, 0.585], [0.750, 0.750, 0.964], [0.750, 0.928, 0.411], [0.250, 0.092, 0.866], [0.250, 0.408, 0.866], [0.250, 0.638, 0.543], [0.250, 0.750, 0.783], [0.250, 0.862, 0.543], [0.750, 0.138, 0.457], [0.750, 0.250, 0.217], [0.750, 0.362, 0.457], [0.750, 0.592, 0.134], [0.750, 0.908, 0.134]]}


{"formula": "V2HN", "functional": "PBE", "state": "relaxed", "sg": "R3m, No. 160", "polymorph_energy_ev_per_atom": 0.245, "magnetic_moment_mub_per_atom": 0.000, "cell": [[2.904, 0.000, 0.000], [-1.452, 2.515, 0.000], [0.000, 0.000, 14.328]], "species": ["V", "V", "V", "V", "V", "V", "H", "H", "H", "N", "N", "N"], "fractional_positions": [[0.000, 0.000, 0.000], [0.000, 0.000, 0.179], [0.333, 0.667, 0.667], [0.333, 0.667, 0.846], [0.667, 0.333, 0.333], [0.667, 0.333, 0.512], [0.000, 0.000, 0.767], [0.333, 0.667, 0.433], [0.667, 0.333, 0.100], [0.000, 0.000, 0.589], [0.333, 0.667, 0.256], [0.667, 0.333, 0.923]]}


{"formula": "PIrRu2", "functional": "PBE", "state": "relaxed", "sg": "I-4m2, No. 119", "e_form_mev_per_atom": 112.5, "magnetic_moment_mub_per_atom": 0.000, "cell": [[3.831, 0.000, 0.000], [0.000, 3.831, 0.000], [0.000, 0.000, 7.420]], "species": ["P", "P", "Ir", "Ir", "Ru", "Ru", "Ru", "Ru"], "fractional_positions": [[0.000, 0.000, 0.000], [0.500, 0.500, 0.500], [0.000, 0.500, 0.250], [0.500, 0.000, 0.750], [0.000, 0.000, 0.500], [0.000, 0.500, 0.750], [0.500, 0.000, 0.250], [0.500, 0.500, 0.000]]}


{"formula": "SiIrPt3", "functional": "PBE", "state": "relaxed", "sg": "Pm-3m, No. 221", "polymorph_energy_ev_per_atom": 0.000, "magnetic_moment_mub_per_atom": 0.000, "cell": [[4.451, 0.000, 0.000], [0.000, 4.451, 0.000], [0.000, 0.000, 4.451]], "species": ["Si", "Ir", "Pt", "Pt", "Pt"], "fractional_positions": [[0.000, 0.000, 0.000], [0.500, 0.500, 0.500], [0.000, 0.000, 0.500], [0.000, 0.500, 0.000], [0.500, 0.000, 0.000]]}


{"formula": "LaNdRe4", "functional": "PBE", "state": "relaxed", "sg": "F-43m, No. 216", "e_form_mev_per_atom": 109.9, "magnetic_moment_mub_per_atom": 0.000, "cell": [[0.000, 3.909, 3.909], [3.909, 0.000, 3.909], [3.909, 3.909, 0.000]], "species": ["La", "Nd", "Re", "Re", "Re", "Re"], "fractional_positions": [[0.000, 0.000, 0.000], [0.750, 0.750, 0.750], [0.375, 0.375, 0.375], [0.375, 0.375, 0.875], [0.375, 0.875, 0.375], [0.875, 0.375, 0.375]]}


{"formula": "Ba3Li2Zn2Au4", "functional": "PBE", "state": "relaxed", "sg": "P-3m1, No. 164", "e_form_mev_per_atom": -495.9, "magnetic_moment_mub_per_atom": 0.000, "cell": [[4.622, 0.000, 0.000], [-2.311, 4.003, 0.000], [0.000, 0.000, 16.850]], "species": ["Ba", "Ba", "Ba", "Li", "Li", "Zn", "Zn", "Au", "Au", "Au", "Au"], "fractional_positions": [[0.000, 0.000, 0.000], [0.000, 0.000, 0.276], [0.000, 0.000, 0.724], [0.333, 0.667, 0.554], [0.667, 0.333, 0.446], [0.333, 0.667, 0.139], [0.667, 0.333, 0.861], [0.333, 0.667, 0.398], [0.333, 0.667, 0.861], [0.667, 0.333, 0.139], [0.667, 0.333, 0.602]]}


{"formula": "Ac2Cu5Ge3", "functional": "PBE", "state": "relaxed", "sg": "Ibam, No. 72", "polymorph_energy_ev_per_atom": 0.000, "e_form_mev_per_atom": -398.4, "magnetic_moment_mub_per_atom": 0.000, "cell": [[-5.027, 6.129, 3.120], [5.027, -6.129, 3.120], [5.027, 6.129, -3.120]], "species": ["Ac", "Ac", "Ac", "Ac", "Cu", "Cu", "Cu", "Cu", "Cu", "Cu", "Cu", "Cu", "Cu", "Cu", "Ge", "Ge", "Ge", "Ge", "Ge", "Ge"], "fractional_positions": [[0.125, 0.248, 0.373], [0.375, 0.748, 0.123], [0.625, 0.252, 0.877], [0.875, 0.752, 0.627], [0.004, 0.250, 0.754], [0.122, 0.624, 0.746], [0.250, 0.250, 0.000], [0.378, 0.124, 0.502], [0.496, 0.250, 0.246], [0.504, 0.750, 0.754], [0.622, 0.876, 0.498], [0.750, 0.750, 0.000], [0.878, 0.376, 0.254], [0.996, 0.750, 0.246], [0.127, 0.871, 0.998], [0.250, 0.750, 0.500], [0.373, 0.371, 0.744], [0.627, 0.629, 0.256], [0.750, 0.250, 0.500], [0.873, 0.129, 0.002]]}


{"formula": "CdTe2Pb", "functional": "PBE", "state": "relaxed", "sg": "P4mm, No. 99", "dft_energy_ev_per_fu": -10.52, "magnetic_moment_mub_per_atom": 0.000, "cell": [[3.415, 0.000, 0.000], [0.000, 3.415, 0.000], [0.000, 0.000, 10.326]], "species": ["Cd", "Te", "Te", "Pb"], "fractional_positions": [[0.000, 0.000, 0.000], [0.000, 0.000, 0.463], [0.500, 0.500, 0.792], [0.500, 0.500, 0.223]]}


{"formula": "Pm2CrP3Rh12", "functional": "PBE", "state": "relaxed", "sg": "R-3m, No. 166", "e_form_mev_per_atom": -187.7, "magnetic_moment_mub_per_atom": 0.143, "cell": [[4.241, 2.448, 5.006], [-4.241, 2.448, 5.006], [0.000, -4.897, 5.006]], "species": ["Pm", "Pm", "Cr", "P", "P", "P", "Rh", "Rh", "Rh", "Rh", "Rh", "Rh", "Rh", "Rh", "Rh", "Rh", "Rh", "Rh"], "fractional_positions": [[0.108, 0.108, 0.108], [0.892, 0.892, 0.892], [0.500, 0.500, 0.500], [0.000, 0.500, 0.500], [0.500, 0.000, 0.500], [0.500, 0.500, 0.000], [0.142, 0.648, 0.648], [0.167, 0.167, 0.588], [0.167, 0.588, 0.167], [0.352, 0.352, 0.858], [0.352, 0.858, 0.352], [0.412, 0.833, 0.833], [0.588, 0.167, 0.167], [0.648, 0.142, 0.648], [0.648, 0.648, 0.142], [0.833, 0.412, 0.833], [0.833, 0.833, 0.412], [0.858, 0.352, 0.352]]}